1.
# Pm3Sm3Ho8 | Alexandria | PBE | optimized geometry
# crystal system	orthorhombic
# DFT total energy	-126.9	eV per cell
# ΔE_f	1.59	eV/f.u.
# energy above the most stable polymorph in this dataset	3	meV/atom
data_Pm3Sm3Ho8
_chemical_formula_sum 'Pm6 Sm6 Ho16'
_cell_length_a 5.659
_cell_length_b 10.747
_cell_length_c 15.142
_cell_angle_alpha 90.00
_cell_angle_beta 90.00
_cell_angle_gamma 90.00
_space_group_name_H-M_alt 'I m m m'
_space_group_IT_number 71
_space_group_name_Hall '-I 2 2'
loop_
_atom_site_label
_atom_site_fract_x
_atom_site_fract_y
_atom_site_fract_z
Pm1 0.000 0.000 0.000
Pm2 0.000 0.302 0.000
Sm1 0.000 0.000 0.500
Sm2 0.000 0.500 0.186
Ho1 0.000 0.161 0.221
Ho2 0.000 0.340 0.397



2.
# Pm4TlAg2 | Alexandria | PBE | optimized geometry
# crystal system	trigonal
# DFT total energy	-84.6	eV per cell
# ΔE_f	-1.14	eV/f.u.
# energy above the most stable polymorph in this dataset	0	meV/atom
data_Pm4TlAg2
_chemical_formula_sum 'Pm12 Tl3 Ag6'
_cell_length_a 5.2932
_cell_length_b 5.2932
_cell_length_c 25.2396
_cell_angle_alpha 90.00
_cell_angle_beta 90.00
_cell_angle_gamma 120.00
_space_group_name_H-M_alt 'R -3 m'
_space_group_IT_number 166
_space_group_name_Hall '-R 3 2"'
loop_
_atom_site_label
_atom_site_fract_x
_atom_site_fract_y
_atom_site_fract_z
Pm1 0.0000 0.0000 0.1148
Pm2 0.0000 0.0000 0.3691
Tl1 0.0000 0.0000 0.5000
Ag1 0.0000 0.0000 0.2438



3.
# LaZrH3 | Alexandria | PBE | optimized geometry
# crystal system	cubic
# DFT total energy	-25.2	eV per cell
# energy above the most stable polymorph in this dataset	0	meV/atom
data_LaZrH3
_chemical_formula_sum 'La1 Zr1 H3'
_cell_length_a 4.055
_cell_length_b 4.055
_cell_length_c 4.055
_cell_angle_alpha 90.00
_cell_angle_beta 90.00
_cell_angle_gamma 90.00
_space_group_name_H-M_alt 'P m -3 m'
_space_group_IT_number 221
_space_group_name_Hall '-P 4 2 3'
loop_
_atom_site_label
_atom_site_fract_x
_atom_site_fract_y
_atom_site_fract_z
La1 0.000 0.000 0.000
Zr1 0.500 0.500 0.500
H1 0.000 0.500 0.500



4.
# Mg2TlSb | Alexandria | PBE | optimized geometry
# crystal system	cubic
# DFT total energy	-38.4	eV per cell
# energy above the most stable polymorph in this dataset	181	meV/atom
# energy relative to the elements, uncorrected	0.02	eV per atom
data_Mg2TlSb
_chemical_formula_sum 'Mg8 Tl4 Sb4'
_cell_length_a 7.530
_cell_length_b 7.530
_cell_length_c 7.530
_cell_angle_alpha 90.00
_cell_angle_beta 90.00
_cell_angle_gamma 90.00
_space_group_name_H-M_alt 'F -4 3 m'
_space_group_IT_number 216
_space_group_name_Hall 'F -4 2 3'
loop_
_atom_site_label
_atom_site_fract_x
_atom_site_fract_y
_atom_site_fract_z
Mg1 0.000 0.000 0.000
Mg2 0.250 0.250 0.250
Tl1 0.250 0.250 0.750
Sb1 0.000 0.000 0.500



5.
# BaAuCl5 | Alexandria | PBE | optimized geometry
# crystal system	monoclinic
# DFT total energy	-91.6	eV per cell
# energy relative to the elements, uncorrected	-1.21	eV per atom
data_BaAuCl5
_chemical_formula_sum 'Ba4 Au4 Cl20'
_cell_length_a 11.584
_cell_length_b 6.294
_cell_length_c 11.968
_cell_angle_alpha 90.00
_cell_angle_beta 110.95
_cell_angle_gamma 90.00
_space_group_name_H-M_alt 'C 1 2/c 1'
_space_group_IT_number 15
loop_
_space_group_symop_operation_xyz
'x,y,z'
'-x,-y,-z'
'-x,y,-z+1/2'
'x,-y,z+1/2'
'x+1/2,y+1/2,z'
'-x+1/2,-y+1/2,-z'
'-x+1/2,y+1/2,-z+1/2'
'x+1/2,-y+1/2,z+1/2'
loop_
_atom_site_label
_atom_site_fract_x
_atom_site_fract_y
_atom_site_fract_z
Ba1 0.000 0.156 0.250
Au1 0.250 0.250 0.000
Cl1 0.000 0.341 0.750
Cl2 0.155 0.057 0.532
Cl3 0.181 0.431 0.135



6.
# CrSb3Pb | Alexandria | PBE | optimized geometry
# crystal system	cubic
# DFT total energy	-19.2	eV per cell
# energy above the most stable polymorph in this dataset	943	meV/atom
# energy relative to the elements, uncorrected	1.30	eV per atom
data_CrSb3Pb
_chemical_formula_sum 'Cr1 Sb3 Pb1'
_cell_length_a 5.759
_cell_length_b 5.759
_cell_length_c 5.759
_cell_angle_alpha 90.00
_cell_angle_beta 90.00
_cell_angle_gamma 90.00
_space_group_name_H-M_alt 'P m -3 m'
_space_group_IT_number 221
_space_group_name_Hall '-P 4 2 3'
loop_
_atom_site_label
_atom_site_fract_x
_atom_site_fract_y
_atom_site_fract_z
Cr1 0.000 0.000 0.000
Sb1 0.000 0.500 0.500
Pb1 0.500 0.500 0.500



7.
# CaLa2BiRu | Alexandria | PBE | optimized geometry
# crystal system	tetragonal
# DFT total energy	-27.4	eV per cell
# ΔE_f	-2.37	eV/f.u.
data_CaLa2BiRu
_chemical_formula_sum 'Ca1 La2 Bi1 Ru1'
_cell_length_a 5.350
_cell_length_b 5.350
_cell_length_c 5.609
_cell_angle_alpha 90.00
_cell_angle_beta 90.00
_cell_angle_gamma 90.00
_space_group_name_H-M_alt 'P 4/m m m'
_space_group_IT_number 123
_space_group_name_Hall '-P 4 2'
loop_
_atom_site_label
_atom_site_fract_x
_atom_site_fract_y
_atom_site_fract_z
Ca1 0.000 0.000 0.000
La1 0.000 0.500 0.500
Bi1 0.500 0.500 0.000
Ru1 0.000 0.000 0.500



8.
# LaCoCu | Alexandria | PBE | optimized geometry
# crystal system	cubic
# DFT total energy	-55.5	eV per cell
# ΔE_f	2.26	eV/f.u.
data_LaCoCu
_chemical_formula_sum 'La4 Co4 Cu4'
_cell_length_a 6.585
_cell_length_b 6.585
_cell_length_c 6.585
_cell_angle_alpha 90.00
_cell_angle_beta 90.00
_cell_angle_gamma 90.00
_space_group_name_H-M_alt 'F -4 3 m'
_space_group_IT_number 216
_space_group_name_Hall 'F -4 2 3'
loop_
_atom_site_label
_atom_site_fract_x
_atom_site_fract_y
_atom_site_fract_z
La1 0.000 0.000 0.000
Co1 0.250 0.250 0.750
Cu1 0.250 0.250 0.250



9.
# TlBP2Au | Alexandria | PBE | optimized geometry
# crystal system	tetragonal
# DFT total energy	-19.4	eV per cell
# ΔE_f	3.79	eV/f.u.
data_TlBP2Au
_chemical_formula_sum 'Tl1 B1 P2 Au1'
_cell_length_a 4.336
_cell_length_b 4.336
_cell_length_c 4.714
_cell_angle_alpha 90.00
_cell_angle_beta 90.00
_cell_angle_gamma 90.00
_space_group_name_H-M_alt 'P 4/m m m'
_space_group_IT_number 123
_space_group_name_Hall '-P 4 2'
loop_
_atom_site_label
_atom_site_fract_x
_atom_site_fract_y
_atom_site_fract_z
Tl1 0.000 0.000 0.000
B1 0.500 0.500 0.500
P1 0.000 0.500 0.500
Au1 0.500 0.500 0.000



10.
# CsKInP2 | Alexandria | PBE | optimized geometry
# crystal system	tetragonal
# DFT total energy	-14.3	eV per cell
# ΔE_f	1.20	eV/f.u.
data_CsKInP2
_chemical_formula_sum 'Cs1 K1 In1 P2'
_cell_length_a 5.334
_cell_length_b 5.334
_cell_length_c 6.005
_cell_angle_alpha 90.00
_cell_angle_beta 90.00
_cell_angle_gamma 90.00
_space_group_name_H-M_alt 'P 4/m m m'
_space_group_IT_number 123
_space_group_name_Hall '-P 4 2'
loop_
_atom_site_label
_atom_site_fract_x
_atom_site_fract_y
_atom_site_fract_z
Cs1 0.000 0.000 0.000
K1 0.500 0.500 0.000
In1 0.500 0.500 0.500
P1 0.000 0.500 0.500



11.
# LaCuSn | Alexandria | PBE | optimized geometry
# crystal system	monoclinic
# DFT total energy	-57.1	eV per cell
# ΔE_f	-1.26	eV/f.u.
data_LaCuSn
_chemical_formula_sum 'La4 Cu4 Sn4'
_cell_length_a 11.045
_cell_length_b 4.384
_cell_length_c 6.132
_cell_angle_alpha 90.00
_cell_angle_beta 93.12
_cell_angle_gamma 90.00
_space_group_name_H-M_alt 'C 1 m 1'
_space_group_IT_number 8
loop_
_space_group_symop_operation_xyz
'x,y,z'
'x,-y,z'
'x+1/2,y+1/2,z'
'x+1/2,-y+1/2,z'
loop_
_atom_site_label
_atom_site_fract_x
_atom_site_fract_y
_atom_site_fract_z
La1 0.000 0.000 0.000
La2 0.099 0.500 0.537
Cu1 0.311 0.000 0.276
Cu2 0.388 0.500 0.456
Sn1 0.216 0.500 0.069
Sn2 0.313 0.000 0.731



12.
# Pr6SnP2Se3 | Alexandria | PBE | optimized geometry
# crystal system	monoclinic
# DFT total energy	-146.0	eV per cell
# energy relative to the elements, uncorrected	-1.59	eV per atom
data_Pr6SnP2Se3
_chemical_formula_sum 'Pr12 Sn2 P4 Se6'
_cell_length_a 18.805
_cell_length_b 4.282
_cell_length_c 8.664
_cell_angle_alpha 90.00
_cell_angle_beta 103.59
_cell_angle_gamma 90.00
_space_group_name_H-M_alt 'C 1 2/m 1'
_space_group_IT_number 12
loop_
_space_group_symop_operation_xyz
'x,y,z'
'-x,-y,-z'
'-x,y,-z'
'x,-y,z'
'x+1/2,y+1/2,z'
'-x+1/2,-y+1/2,-z'
'-x+1/2,y+1/2,-z'
'x+1/2,-y+1/2,z'
loop_
_atom_site_label
_atom_site_fract_x
_atom_site_fract_y
_atom_site_fract_z
Pr1 0.005 0.000 0.260
Pr2 0.170 0.500 0.100
Pr3 0.172 0.500 0.573
Sn1 0.000 0.500 0.000
P1 0.168 0.000 0.336
Se1 0.000 0.500 0.500
Se2 0.165 0.000 0.831



Which value of DFT total energy does entry 10 give? -14.3 eV per cell



The lowest DFT total energy belongs to which entry? Pr6SnP2Se3